! Dy3Pd, optimized geometry, DFT PBE; values from VASP
&SYSTEM
  ibrav = 0, nat = 16, ntyp = 2
/
ATOMIC_SPECIES
Dy 162.50 Dy.upf
Pd 106.42 Pd.upf
ATOMIC_POSITIONS angstrom
Dy 4.347 4.979 0.001
Dy 1.568 0.002 1.602
Dy 9.130 5.399 5.401
Dy 4.346 3.423 8.396
Dy 3.050 2.997 2.994
Dy 6.091 5.404 2.995
Dy 7.571 6.791 0.003
Dy 7.646 8.396 6.798
Dy 7.578 1.601 8.391
Dy 4.792 0.002 3.414
Dy 6.091 2.994 5.398
Dy 10.877 8.391 4.975
Pd 6.085 5.918 5.922
Pd 9.140 5.918 2.479
Pd 3.043 2.477 5.919
Pd 6.095 2.479 2.473
CELL_PARAMETERS angstrom
6.097 -0.004 -0.005
3.043 8.398 0.002
3.042 0.003 8.398
! Size of the total moment ... 0.00 μB/cell
! Density ... 9.170 g/cm3
! Formation enthalpy at 0 K ... -0.403 eV/atom


! TiBeCd, optimized geometry, DFT PBE; values from VASP
&SYSTEM
  ibrav = 0, nat = 12, ntyp = 3
/
ATOMIC_SPECIES
Cd 112.41 Cd.upf
Ti 47.87 Ti.upf
Be 9.01 Be.upf
ATOMIC_POSITIONS angstrom
Cd 1.023 0.972 -0.048
Cd 3.769 4.777 3.626
Cd 5.766 2.928 -1.241
Cd 1.157 0.612 5.515
Ti 1.294 2.194 3.003
Ti 0.886 -0.610 2.464
Ti 6.036 4.150 1.810
Ti 3.498 3.555 0.576
Be -0.794 0.479 3.952
Be 5.586 5.270 -0.374
Be 2.975 1.105 1.514
Be 3.948 2.436 2.760
CELL_PARAMETERS angstrom
-2.562 -0.373 6.659
2.130 -2.209 0.696
7.354 6.122 -3.081
! Size of the total moment ... 0.00 μB/cell
! Density ... 6.107 g/cm3
! Formation enthalpy at 0 K ... 0.014 eV/atom


! MgZr4Pd, optimized geometry, DFT PBE; values from VASP
&SYSTEM
  ibrav = 0, nat = 6, ntyp = 3
/
ATOMIC_SPECIES
Zr 91.22 Zr.upf
Pd 106.42 Pd.upf
Mg 24.30 Mg.upf
ATOMIC_POSITIONS angstrom
Zr 0.000 0.000 4.454
Zr 1.618 1.618 10.212
Zr 1.618 1.618 2.317
Zr 0.000 0.000 8.075
Pd 1.618 1.618 6.264
Mg 0.000 0.000 0.000
CELL_PARAMETERS angstrom
3.235 0.000 0.000
0.000 3.235 0.000
0.000 0.000 12.529
! Size of the total moment ... 0.00 μB/cell
! Density ... 6.275 g/cm3
! Formation enthalpy at 0 K ... -0.235 eV/atom


! Tm2MgV, optimized geometry, DFT PBE; values from VASP
&SYSTEM
  ibrav = 0, nat = 4, ntyp = 3
/
ATOMIC_SPECIES
Mg 24.30 Mg.upf
Tm 168.93 Tm.upf
V 50.94 V.upf
ATOMIC_POSITIONS angstrom
Mg 3.227 1.863 5.619
Tm 1.613 0.931 8.426
Tm 4.840 2.794 2.811
V 0.000 0.000 0.000
CELL_PARAMETERS angstrom
3.227 0.000 0.000
1.613 2.794 0.000
1.613 0.931 11.237
! Size of the total moment ... 3.23 μB/cell
! Density ... 6.771 g/cm3
! Formation enthalpy at 0 K ... 0.599 eV/atom


! SrBe2I, optimized geometry, DFT PBE; values from VASP
&SYSTEM
  ibrav = 0, nat = 4, ntyp = 3
/
ATOMIC_SPECIES
I 126.90 I.upf
Be 9.01 Be.upf
Sr 87.62 Sr.upf
ATOMIC_POSITIONS angstrom
I 2.973 -4.509 -3.317
Be 4.460 -6.764 -4.976
Be 1.487 -2.255 -1.659
Sr 0.000 0.000 0.000
CELL_PARAMETERS angstrom
4.038 -3.237 -0.055
-0.479 -4.699 -2.117
2.387 -1.083 -4.463
! Size of the total moment ... 0.00 μB/cell
! Density ... 3.939 g/cm3
! Energy relative to the elements, uncorrected ... 0.8316 eV per atom


! Tl2FeSb, optimized geometry, DFT PBE; values from VASP
&SYSTEM
  ibrav = 0, nat = 4, ntyp = 3
/
ATOMIC_SPECIES
Sb 121.76 Sb.upf
Fe 55.84 Fe.upf
Tl 204.38 Tl.upf
ATOMIC_POSITIONS angstrom
Sb 3.129 0.001 1.519
Fe 1.654 2.656 1.519
Tl 0.000 0.000 0.000
Tl 4.784 2.658 0.000
CELL_PARAMETERS angstrom
6.259 0.002 0.000
3.309 5.313 0.000
-4.784 -2.658 3.037
! Size of the total moment ... 3.12 μB/cell
! Density ... 9.643 g/cm3
! Energy relative to the elements, uncorrected ... 0.5428 eV per atom


What did the second record say?
! TiBeCd, optimized geometry, DFT PBE; values from VASP
&SYSTEM
  ibrav = 0, nat = 12, ntyp = 3
/
ATOMIC_SPECIES
Cd 112.41 Cd.upf
Ti 47.87 Ti.upf
Be 9.01 Be.upf
ATOMIC_POSITIONS angstrom
Cd 1.023 0.972 -0.048
Cd 3.769 4.777 3.626
Cd 5.766 2.928 -1.241
Cd 1.157 0.612 5.515
Ti 1.294 2.194 3.003
Ti 0.886 -0.610 2.464
Ti 6.036 4.150 1.810
Ti 3.498 3.555 0.576
Be -0.794 0.479 3.952
Be 5.586 5.270 -0.374
Be 2.975 1.105 1.514
Be 3.948 2.436 2.760
CELL_PARAMETERS angstrom
-2.562 -0.373 6.659
2.130 -2.209 0.696
7.354 6.122 -3.081
! Size of the total moment ... 0.00 μB/cell
! Density ... 6.107 g/cm3
! Formation enthalpy at 0 K ... 0.014 eV/atom